Entry 1
KPmBi2 GGA-PBE optimized geometry; calculated volume = 133.9 Å³ per cell; total magnetization = 0.00 μB per formula unit; Fermi-level density of states = 5.9 states/eV/cell
1.0
-2.842 -4.970 0.438
0.990 -3.491 4.450
-3.998 -0.673 4.066
Bi Pm K
2 1 1
direct
0.250 0.250 0.250 Bi
0.750 0.750 0.750 Bi
0.000 0.000 0.000 Pm
0.500 0.500 0.500 K

***

Entry 2
KPmBi2 GGA-PBE optimized geometry; calculated volume = 158.8 Å³ per cell; total magnetization = 0.00 μB per formula unit; Fermi-level density of states = 3.1 states/eV/cell
1.0
-1.771 -4.080 1.056
1.530 -2.280 3.655
-6.145 1.803 6.555
Bi Pm K
2 1 1
direct
0.264 0.264 0.209 Bi
0.736 0.736 0.791 Bi
0.000 0.000 0.000 Pm
0.500 0.500 0.500 K

***

Entry 3
KPmBi2 GGA-PBE optimized geometry; calculated volume = 131.3 Å³ per cell; total magnetization = 0.00 μB per formula unit; Fermi-level density of states = 2.4 states/eV/cell
1.0
4.485 0.000 0.000
0.000 5.410 0.000
0.000 0.000 5.410
Pm K Bi
1 1 2
direct
0.500 0.500 0.500 Pm
0.500 0.000 0.000 K
0.000 0.500 0.000 Bi
0.000 0.000 0.500 Bi

***

Going by the energies, entry 3 is most stable and the next is 1.9 kJ/mol of atoms up.

***

Entry 1
K2Bi2Pt3 GGA-PBE optimized geometry; calculated volume = 203.1 Å³ per cell; total magnetization = 0.00 μB per formula unit; Fermi-level density of states = 2.7 states/eV/cell
1.0
4.224 0.000 -1.135
-0.078 6.935 -0.290
-0.380 0.405 7.017
Pt K Bi
3 2 2
direct
0.203 0.943 0.407 Pt
0.797 0.057 0.593 Pt
0.000 0.000 0.000 Pt
0.863 0.617 0.725 K
0.137 0.383 0.275 K
0.406 0.189 0.812 Bi
0.594 0.811 0.188 Bi

***

Entry 2
K2Bi2Pt3 GGA-PBE optimized geometry; calculated volume = 177.3 Å³ per cell; total magnetization = 0.00 μB per formula unit; Fermi-level density of states = 5.6 states/eV/cell
1.0
4.691 0.000 0.000
-2.345 6.015 -0.418
0.000 -3.634 6.537
Pt Bi K
3 2 2
direct
0.500 0.000 0.000 Pt
0.420 0.840 0.577 Pt
0.580 0.160 0.423 Pt
0.143 0.287 0.279 Bi
0.857 0.713 0.721 Bi
0.164 0.328 0.800 K
0.836 0.672 0.200 K

***

Going by the energies, entry 1 is most stable and the next is 5.3 kJ/mol of atoms up.

***

Entry 1
KBiPt GGA-PBE optimized geometry; calculated volume = 373.9 Å³ per cell; total magnetization = 0.00 μB per formula unit; Fermi-level density of states = 1.9 states/eV/cell
1.0
6.877 0.000 -2.003
0.000 7.194 0.000
-0.389 0.000 7.669
K Bi Pt
4 4 4
direct
0.726 0.109 0.922 K
0.226 0.391 0.422 K
0.274 0.891 0.078 K
0.774 0.609 0.578 K
0.683 0.109 0.422 Bi
0.817 0.609 0.078 Bi
0.317 0.891 0.578 Bi
0.183 0.391 0.922 Bi
0.944 0.878 0.339 Pt
0.556 0.378 0.161 Pt
0.444 0.622 0.839 Pt
0.056 0.122 0.661 Pt

***

Entry 2
KBiPt GGA-PBE optimized geometry; calculated volume = 188.0 Å³ per cell; total magnetization = 0.00 μB per formula unit; Fermi-level density of states = 1.7 states/eV/cell
1.0
4.769 0.000 0.000
0.000 6.361 -0.376
-2.384 -0.940 6.255
K Pt Bi
2 2 2
direct
0.127 0.348 0.255 K
0.873 0.652 0.745 K
0.799 0.106 0.598 Pt
0.201 0.894 0.402 Pt
0.596 0.841 0.191 Bi
0.404 0.159 0.809 Bi

***

Entry 3
KBiPt GGA-PBE optimized geometry; calculated volume = 99.2 Å³ per cell; total magnetization = 0.00 μB per formula unit; Fermi-level density of states = 3.1 states/eV/cell
1.0
5.334 0.000 0.000
0.000 4.635 0.000
0.000 -2.317 4.014
Bi Pt K
1 1 1
direct
0.167 0.333 0.667 Bi
0.166 0.000 0.000 Pt
0.667 0.667 0.333 K

***

Going by the energies, entry 1 is most stable and the next is 0.6 kJ/mol of atoms up.

***

Entry 1
KBi3Pt GGA-PBE optimized geometry; calculated volume = 192.9 Å³ per cell; total magnetization = 1.46 μB per formula unit; Fermi-level density of states = 7.2 states/eV/cell
1.0
5.778 0.000 0.000
0.000 5.778 0.000
0.000 0.000 5.778
Bi Pt K
3 1 1
direct
0.000 0.000 0.500 Bi
0.000 0.500 0.000 Bi
0.500 0.000 0.000 Bi
0.500 0.500 0.500 Pt
0.000 0.000 0.000 K

***

Entry 2
KBi3Pt GGA-PBE optimized geometry; calculated volume = 604.3 Å³ per cell; total magnetization = 0.00 μB per formula unit; Fermi-level density of states = 9.6 states/eV/cell
1.0
-2.634 7.612 -1.060
-8.905 -0.579 0.311
-0.268 3.509 8.206
Bi Pt K
12 4 4
direct
0.445 0.345 0.942 Bi
0.395 0.985 0.368 Bi
0.895 0.368 0.985 Bi
0.105 0.632 0.015 Bi
0.605 0.015 0.632 Bi
0.055 0.058 0.655 Bi
0.606 0.292 0.292 Bi
0.394 0.708 0.708 Bi
0.106 0.292 0.292 Bi
0.894 0.708 0.708 Bi
0.945 0.942 0.345 Bi
0.555 0.655 0.058 Bi
0.191 0.755 0.480 Pt
0.309 0.520 0.245 Pt
0.691 0.480 0.755 Pt
0.809 0.245 0.520 Pt
0.250 0.010 0.990 K
0.750 0.620 0.380 K
0.250 0.380 0.620 K
0.750 0.990 0.010 K

***

Entry 3
KBi3Pt GGA-PBE optimized geometry; calculated volume = 305.8 Å³ per cell; total magnetization = 0.00 μB per formula unit; Fermi-level density of states = 5.1 states/eV/cell
1.0
5.947 0.000 2.674
2.865 6.844 1.579
0.171 -0.466 7.569
Bi Pt K
6 2 2
direct
0.250 0.110 0.390 Bi
0.179 0.321 0.821 Bi
0.821 0.679 0.179 Bi
0.679 0.321 0.821 Bi
0.750 0.890 0.610 Bi
0.321 0.679 0.179 Bi
0.000 0.500 0.500 Pt
0.500 0.000 0.000 Pt
0.250 0.769 0.731 K
0.750 0.231 0.269 K

***

Going by the energies, entry 2 is most stable and the next is 1.9 kJ/mol of atoms up.

***

Entry 1
KRb3Bi GGA-PBE optimized geometry; calculated volume = 350.0 Å³ per cell; total magnetization = 0.95 μB per formula unit; Fermi-level density of states = 6.1 states/eV/cell
1.0
-0.637 -0.495 7.001
6.751 -1.967 0.475
1.921 6.749 0.652
K Rb Bi
1 3 1
direct
0.000 0.000 0.000 K
0.000 0.000 0.500 Rb
0.500 0.000 0.000 Rb
0.000 0.500 0.000 Rb
0.500 0.500 0.500 Bi

***

Entry 2
KRb3Bi GGA-PBE optimized geometry; calculated volume = 391.5 Å³ per cell; total magnetization = 0.91 μB per formula unit; Fermi-level density of states = 4.4 states/eV/cell
1.0
7.315 0.000 0.000
0.000 7.315 0.000
0.000 0.000 7.315
Rb K Bi
3 1 1
direct
0.000 0.500 0.000 Rb
0.000 0.000 0.500 Rb
0.500 0.000 0.000 Rb
0.500 0.500 0.500 K
0.000 0.000 0.000 Bi

***

Going by the energies, entry 2 is most stable and the next is 49.9 kJ/mol of atoms up.

***

Entry 1
K2Rb2Bi GGA-PBE optimized geometry; calculated volume = 597.7 Å³ per cell; total magnetization = 0.90 μB per formula unit; Fermi-level density of states = 9.1 states/eV/cell
1.0
-6.425 -4.614 5.063
6.538 -2.061 6.419
-1.474 5.712 3.335
Rb Bi K
4 2 4
direct
0.143 0.357 0.000 Rb
0.643 0.143 0.000 Rb
0.857 0.643 0.000 Rb
0.357 0.857 0.000 Rb
0.500 0.500 0.000 Bi
0.000 0.000 0.000 Bi
0.300 0.200 0.500 K
0.200 0.700 0.500 K
0.800 0.300 0.500 K
0.700 0.800 0.500 K

***

Entry 2
K2Rb2Bi GGA-PBE optimized geometry; calculated volume = 576.5 Å³ per cell; total magnetization = 0.84 μB per formula unit; Fermi-level density of states = 7.3 states/eV/cell
1.0
-2.200 6.972 5.540
-7.376 -4.624 2.889
3.726 -2.810 5.016
K Rb Bi
4 4 2
direct
0.351 0.851 0.000 K
0.149 0.351 0.000 K
0.851 0.649 0.000 K
0.649 0.149 0.000 K
0.798 0.298 0.500 Rb
0.298 0.202 0.500 Rb
0.202 0.702 0.500 Rb
0.702 0.798 0.500 Rb
0.000 0.000 0.000 Bi
0.500 0.500 0.000 Bi

***

Entry 3
K2Rb2Bi GGA-PBE optimized geometry; calculated volume = 601.2 Å³ per cell; total magnetization = 0.51 μB per formula unit; Fermi-level density of states = 5.6 states/eV/cell
1.0
-2.113 -5.908 2.407
5.484 0.540 6.141
-7.348 5.119 6.112
K Bi Rb
4 2 4
direct
0.000 0.371 0.822 K
0.000 0.629 0.178 K
0.000 0.129 0.322 K
0.000 0.871 0.678 K
0.000 0.500 0.500 Bi
0.000 0.000 0.000 Bi
0.500 0.711 0.413 Rb
0.500 0.211 0.087 Rb
0.500 0.789 0.913 Rb
0.500 0.289 0.587 Rb

***

Going by the energies, entry 3 is most stable and the next is 9.3 kJ/mol of atoms up.